MgTiSbF2: optimized geometry, GGA-PBE.

The structure in POSCAR format:
```
MgTiSbF2
1.0
3.8644 0.0000 0.0000
0.0000 3.8644 0.0000
0.0000 0.0000 6.6545
Mg Ti Sb F
1 1 1 2
Cartesian
0.0000 0.0000 0.0000
1.9322 1.9322 3.3272
0.0000 0.0000 3.3272
0.0000 1.9322 0.0000
1.9322 0.0000 0.0000
```

Computed properties:
calculated volume: 19.9 A^3/atom
energy relative to the elements, uncorrected: -8.86 eV per formula unit
VASP energy: -5.2427 eV/atom

=====

Pm6GaGe5: optimized geometry, GGA-PBE.

The structure in POSCAR format:
```
Pm6GaGe5
1.0
3.7231 -6.4874 0.0000
3.7231 6.4874 0.0000
-2.5099 0.0000 6.8713
Pm Ga Ge
6 1 5
Cartesian
-0.0736 2.2491 5.0826
1.1322 0.0000 1.7620
-0.0736 -2.2491 5.0826
5.0099 2.2491 1.7887
3.8041 0.0000 5.1092
5.0099 -2.2491 1.7887
3.7231 0.0000 0.0000
-1.2549 0.0000 3.4356
3.7231 4.3101 0.0000
2.4681 2.0596 3.4356
2.4681 -2.0596 3.4356
3.7231 -4.3101 0.0000
```

Computed properties:
calculated volume: 27.7 A^3/atom
VASP energy: -5.1711 eV/atom
formation energy: -0.620 eV per atom

=====

RbScPb: optimized geometry, GGA-PBE.

The structure in POSCAR format:
```
RbScPb
1.0
3.4405 0.0000 0.0000
1.0675 6.3854 0.0000
0.5137 3.1809 9.3538
Rb Sc Pb
2 2 2
Cartesian
0.2870 1.5975 1.1117
4.7347 7.9688 8.2421
0.9627 3.2176 4.6812
4.0590 6.3487 4.6726
2.5096 4.7799 2.4983
2.5122 4.7864 6.8555
```

Computed properties:
calculated volume: 34.2 A^3/atom
energy relative to the lowest polymorph listed for this composition: 0.195 eV/atom
VASP energy: -3.7112 eV/atom
formation energy: -0.042 eV per atom

=====

NdSmAg: optimized geometry, GGA-PBE.

The structure in POSCAR format:
```
NdSmAg
1.0
7.2916 0.0000 0.0000
0.0000 7.2916 0.0000
0.0000 0.0000 7.2916
Nd Sm Ag
4 4 4
Cartesian
0.0000 0.0000 0.0000
0.0000 3.6458 3.6458
3.6458 0.0000 3.6458
3.6458 3.6458 0.0000
0.0000 0.0000 3.6458
0.0000 3.6458 0.0000
3.6458 0.0000 0.0000
3.6458 3.6458 3.6458
1.8229 1.8229 1.8229
1.8229 5.4687 5.4687
5.4687 1.8229 5.4687
5.4687 5.4687 1.8229
```

Computed properties:
calculated volume: 32.3 A^3/atom
energy relative to the lowest polymorph listed for this composition: 0.244 eV/atom
VASP energy: -4.0281 eV/atom
formation energy: 0.085 eV per atom